Entry from the Alexandria database: a relaxed FeAuF2 crystal (PBE+U).

Summary:
As for the calculated total energy: -54.2 eV per cell.

Lattice parameters (Å, degrees): 2.9509 2.9509 27.9080 90.00 90.00 120.00
Space group R-3m (No. 166, hexagonal axes)
One atom of each set of equivalent atoms:
Fe  0.0000  0.0000  0.0000 [3 per cell]
Au  0.0000  0.0000  0.5000 [3 per cell]
F  0.0000  0.0000  0.3749 [6 per cell]